1.
Below is an optimized crystal structure of RbSbTe, with properties calculated at the PBE level.

```
data_RbSbTe
_chemical_formula_sum 'Rb4 Sb4 Te4'
_symmetry_space_group_name_H-M 'I m m m'
_symmetry_Int_Tables_number 71
_symmetry_space_group_name_Hall '-I 2 2'
_cell_length_a 5.414
_cell_length_b 6.846
_cell_length_c 16.682
_cell_angle_alpha 90.00
_cell_angle_beta 90.00
_cell_angle_gamma 90.00
loop_
_atom_site_label
_atom_site_fract_x
_atom_site_fract_y
_atom_site_fract_z
_atom_site_occupancy
Rb1 0.000 0.000 0.147 1
Sb1 0.000 0.290 0.500 1
Te1 0.000 0.000 0.370 1
```

Calculated values
Raw formation energy = -0.27 eV/atom
Total moment = 0.00 Bohr magnetons per cell
Mass density = 3.597 g/cm3
Energy above the most stable polymorph in this dataset = 0.184 eV/atom

***

2.
Below is an optimized crystal structure of Rb2SbTe2, with properties calculated at the PBE level.

```
data_Rb2SbTe2
_chemical_formula_sum 'Rb4 Sb2 Te4'
_symmetry_space_group_name_H-M 'P 4/m b m'
_symmetry_Int_Tables_number 127
_symmetry_space_group_name_Hall '-P 4 2ab'
_cell_length_a 8.533
_cell_length_b 8.533
_cell_length_c 5.432
_cell_angle_alpha 90.00
_cell_angle_beta 90.00
_cell_angle_gamma 90.00
loop_
_atom_site_label
_atom_site_fract_x
_atom_site_fract_y
_atom_site_fract_z
_atom_site_occupancy
Rb1 0.144 0.356 0.000 1
Sb1 0.000 0.000 0.500 1
Te1 0.172 0.672 0.500 1
```

Calculated values
Raw formation energy = -0.53 eV/atom
Total moment = 0.00 Bohr magnetons per cell
Mass density = 4.600 g/cm3

***

3.
Below is an optimized crystal structure of RbSbTe4, with properties calculated at the PBE level.

```
data_RbSbTe4
_chemical_formula_sum 'Rb4 Sb4 Te16'
_symmetry_space_group_name_H-M 'C 1 2/m 1'
_symmetry_Int_Tables_number 12
_cell_length_a 17.407
_cell_length_b 8.995
_cell_length_c 6.581
_cell_angle_alpha 90.00
_cell_angle_beta 98.97
_cell_angle_gamma 90.00
loop_
_symmetry_equiv_pos_as_xyz
'x,y,z'
'-x,-y,-z'
'-x,y,-z'
'x,-y,z'
'x+1/2,y+1/2,z'
'-x+1/2,-y+1/2,-z'
'-x+1/2,y+1/2,-z'
'x+1/2,-y+1/2,z'
loop_
_atom_site_label
_atom_site_fract_x
_atom_site_fract_y
_atom_site_fract_z
_atom_site_occupancy
Rb1 0.182 0.000 0.227 1
Sb1 0.080 0.500 0.301 1
Te1 0.000 0.249 0.000 1
Te2 0.076 0.228 0.610 1
Te3 0.231 0.500 0.237 1
```

Calculated values
Raw formation energy = -0.26 eV/atom
Total moment = 0.00 Bohr magnetons per cell
Mass density = 4.683 g/cm3

***

4.
Below is an optimized crystal structure of RbSbTe2, with properties calculated at the PBE level.

```
data_RbSbTe2
_chemical_formula_sum 'Rb3 Sb3 Te6'
_symmetry_space_group_name_H-M 'R 3 m'
_symmetry_Int_Tables_number 160
_symmetry_space_group_name_Hall 'R 3 -2"'
_cell_length_a 4.5269
_cell_length_b 4.5269
_cell_length_c 26.0090
_cell_angle_alpha 90.00
_cell_angle_beta 90.00
_cell_angle_gamma 120.00
loop_
_atom_site_label
_atom_site_fract_x
_atom_site_fract_y
_atom_site_fract_z
_atom_site_occupancy
Rb1 0.0000 0.0000 0.0000 1
Sb1 0.0000 0.0000 0.8325 1
Te1 0.0000 0.0000 0.2317 1
Te2 0.0000 0.0000 0.4335 1
```

Calculated values
Raw formation energy = -0.51 eV/atom
Total moment = 0.00 Bohr magnetons per cell
Mass density = 4.991 g/cm3

***

5.
Below is an optimized crystal structure of Rb2SbTe3, with properties calculated at the PBE level.

```
data_Rb2SbTe3
_chemical_formula_sum 'Rb8 Sb4 Te12'
_symmetry_space_group_name_H-M 'C 1 2/c 1'
_symmetry_Int_Tables_number 15
_cell_length_a 14.537
_cell_length_b 9.664
_cell_length_c 7.851
_cell_angle_alpha 90.00
_cell_angle_beta 96.60
_cell_angle_gamma 90.00
loop_
_symmetry_equiv_pos_as_xyz
'x,y,z'
'-x,-y,-z'
'-x,y,-z+1/2'
'x,-y,z+1/2'
'x+1/2,y+1/2,z'
'-x+1/2,-y+1/2,-z'
'-x+1/2,y+1/2,-z+1/2'
'x+1/2,-y+1/2,z+1/2'
loop_
_atom_site_label
_atom_site_fract_x
_atom_site_fract_y
_atom_site_fract_z
_atom_site_occupancy
Rb1 0.153 0.165 0.185 1
Sb1 0.000 0.424 0.750 1
Te1 0.000 0.136 0.750 1
Te2 0.146 0.472 0.511 1
```

Calculated values
Raw formation energy = -0.56 eV/atom
Total moment = 0.00 Bohr magnetons per cell
Mass density = 4.095 g/cm3
Energy above the most stable polymorph in this dataset = 0.000 eV/atom

***

6.
Below is an optimized crystal structure of Rb3Sb5Te12, with properties calculated at the PBE level.

```
data_Rb3Sb5Te12
_chemical_formula_sum 'Rb24 Sb40 Te96'
_symmetry_space_group_name_H-M 'I a -3 d'
_symmetry_Int_Tables_number 230
_symmetry_space_group_name_Hall '-I 4bd 2c 3'
_cell_length_a 18.872
_cell_length_b 18.872
_cell_length_c 18.872
_cell_angle_alpha 90.00
_cell_angle_beta 90.00
_cell_angle_gamma 90.00
loop_
_atom_site_label
_atom_site_fract_x
_atom_site_fract_y
_atom_site_fract_z
_atom_site_occupancy
Rb1 0.000 0.250 0.125 1
Sb1 0.000 0.000 0.000 1
Sb2 0.000 0.250 0.375 1
Te1 0.032 0.057 0.647 1
```

Calculated values
Raw formation energy = -0.17 eV/atom
Total moment = 0.00 Bohr magnetons per cell
Mass density = 4.736 g/cm3